Pm3Sn: relaxed, PBEsol.

For the formation energy, the calculation gives -496 meV/atom. The value obtained for the theoretical density is 8.2 g/cm3.

abc: 4.8237 4.8237 4.8237
angles: 90.00 90.00 90.00
Positions (direct):
Pm  0.0000  0.0000  0.5000
Pm  0.0000  0.5000  0.0000
Pm  0.5000  0.0000  0.0000
Sn  0.5000  0.5000  0.5000